1.
DFT (PBE) results for a relaxed RbSnSeF2 crystal.

a = 4.7044 Å, b = 4.7044 Å, c = 5.2963 Å
α = 90.00°, β = 90.00°, γ = 90.00°
Closest atoms and distances in Å follow each position.
Space group P4/mmm (No. 123)
Unique sites:
Rb  0.0000  0.0000  0.0000 [1 per cell]  4 Se 3.33, 8 F 3.54
Sn  0.5000  0.5000  0.5000 [1 per cell]  4 F 2.35
Se  0.5000  0.5000  0.0000 [1 per cell]  2 Sn 2.65
F  0.0000  0.5000  0.5000 [2 per cell]  2 Sn 2.35

- uncorrected formation energy (eV/f.u.) = -8.86



2.
DFT (PBE) results for a relaxed KSeSN2 crystal.

a = 4.2505 Å, b = 4.2505 Å, c = 4.8795 Å
α = 90.00°, β = 90.00°, γ = 90.00°
Closest atoms and distances in Å follow each position.
Space group P4/mmm (No. 123)
Unique sites:
K  0.0000  0.0000  0.0000 [1 per cell]  4 Se 3.01, 8 N 3.24
Se  0.5000  0.5000  0.0000 [1 per cell]  2 S 2.44
S  0.5000  0.5000  0.5000 [1 per cell]  4 N 2.13
N  0.0000  0.5000  0.5000 [2 per cell]  2 S 2.13

- energy relative to the lowest polymorph listed for this composition (eV per atom) = 0.0000
- uncorrected formation energy (eV/f.u.) = 6.89